1.
# LaHoErLu | Alexandria | GGA-PBE | relaxed
# Formation energy from the elements, kJ per mole of atoms: 9.50
# Crystal system: cubic
# Final energy, eV per atom: -4.5489
# Total magnetic moment, μB/cell: 0.001
data_LaHoErLu
_cell_length_a 5.682
_cell_length_b 5.682
_cell_length_c 5.682
_cell_angle_alpha 60.00
_cell_angle_beta 60.00
_cell_angle_gamma 60.00
_symmetry_space_group_name_H-M 'P 1'
_symmetry_Int_Tables_number 1
loop_
_symmetry_equiv_pos_as_xyz
'x,y,z'
loop_
_atom_site_label
_atom_site_type_symbol
_atom_site_fract_x
_atom_site_fract_y
_atom_site_fract_z
_atom_site_occupancy
La1 La 0.000 0.000 0.000 1
Ho1 Ho 0.500 0.500 0.500 1
Er1 Er 0.750 0.750 0.750 1
Lu1 Lu 0.250 0.250 0.250 1

---

2.
# LaHoErMg | Alexandria | GGA-PBE | relaxed
# Formation energy from the elements, kJ per mole of atoms: -1.16
# Crystal system: tetragonal
# Final energy, eV per atom: -3.9277
# Total magnetic moment, μB/cell: 0.000
# Energy above the lowest structure with this stoichiometry, meV/atom: 0.0
data_LaHoErMg
_cell_length_a 3.696
_cell_length_b 3.696
_cell_length_c 8.940
_cell_angle_alpha 90.00
_cell_angle_beta 90.00
_cell_angle_gamma 90.00
_symmetry_space_group_name_H-M 'P 1'
_symmetry_Int_Tables_number 1
loop_
_symmetry_equiv_pos_as_xyz
'x,y,z'
loop_
_atom_site_label
_atom_site_type_symbol
_atom_site_fract_x
_atom_site_fract_y
_atom_site_fract_z
_atom_site_occupancy
La1 La 0.000 0.000 0.000 1
Ho1 Ho 0.500 0.500 0.717 1
Er1 Er 0.500 0.500 0.281 1
Mg1 Mg 0.000 0.000 0.498 1

---

3.
# LaHoErMg | Alexandria | GGA-PBE | relaxed
# Formation energy from the elements, kJ per mole of atoms: 2.86
# Crystal system: cubic
# Final energy, eV per atom: -3.8860
# Total magnetic moment, μB/cell: 0.002
# Energy above the lowest structure with this stoichiometry, meV/atom: 41.7
data_LaHoErMg
_cell_length_a 5.578
_cell_length_b 5.578
_cell_length_c 5.578
_cell_angle_alpha 60.00
_cell_angle_beta 60.00
_cell_angle_gamma 60.00
_symmetry_space_group_name_H-M 'P 1'
_symmetry_Int_Tables_number 1
loop_
_symmetry_equiv_pos_as_xyz
'x,y,z'
loop_
_atom_site_label
_atom_site_type_symbol
_atom_site_fract_x
_atom_site_fract_y
_atom_site_fract_z
_atom_site_occupancy
La1 La 0.000 0.000 0.000 1
Ho1 Ho 0.500 0.500 0.500 1
Er1 Er 0.750 0.750 0.750 1
Mg1 Mg 0.250 0.250 0.250 1

---

4.
# La2Ho2ErMg5 | Alexandria | GGA-PBE | relaxed
# Formation energy from the elements, kJ per mole of atoms: 1.03
# Crystal system: tetragonal
# Final energy, eV per atom: -3.1439
# Total magnetic moment, μB/cell: 0.001
data_La2Ho2ErMg5
_cell_length_a 10.620
_cell_length_b 10.620
_cell_length_c 5.094
_cell_angle_alpha 90.00
_cell_angle_beta 90.00
_cell_angle_gamma 90.00
_symmetry_space_group_name_H-M 'P 1'
_symmetry_Int_Tables_number 1
loop_
_symmetry_equiv_pos_as_xyz
'x,y,z'
loop_
_atom_site_label
_atom_site_type_symbol
_atom_site_fract_x
_atom_site_fract_y
_atom_site_fract_z
_atom_site_occupancy
La1 La 0.176 0.324 0.000 1
La2 La 0.324 0.824 0.000 1
La3 La 0.676 0.176 0.000 1
La4 La 0.824 0.676 0.000 1
Ho1 Ho 0.121 0.621 0.000 1
Ho2 Ho 0.379 0.121 0.000 1
Ho3 Ho 0.621 0.879 0.000 1
Ho4 Ho 0.879 0.379 0.000 1
Er1 Er 0.000 0.000 0.000 1
Er2 Er 0.500 0.500 0.000 1
Mg1 Mg 0.000 0.500 0.500 1
Mg2 Mg 0.070 0.802 0.500 1
Mg3 Mg 0.198 0.070 0.500 1
Mg4 Mg 0.302 0.570 0.500 1
Mg5 Mg 0.430 0.302 0.500 1
Mg6 Mg 0.500 0.000 0.500 1
Mg7 Mg 0.570 0.698 0.500 1
Mg8 Mg 0.698 0.430 0.500 1
Mg9 Mg 0.802 0.930 0.500 1
Mg10 Mg 0.930 0.198 0.500 1

---

5.
# La2Nd3HoEr6 | Alexandria | GGA-PBE | relaxed
# Formation energy from the elements, kJ per mole of atoms: 1.61
# Crystal system: monoclinic
# Final energy, eV per atom: -4.6594
# Total magnetic moment, μB/cell: 0.000
data_La2Nd3HoEr6
_cell_length_a 6.237
_cell_length_b 6.237
_cell_length_c 11.802
_cell_angle_alpha 95.04
_cell_angle_beta 95.04
_cell_angle_gamma 119.98
_symmetry_space_group_name_H-M 'P 1'
_symmetry_Int_Tables_number 1
loop_
_symmetry_equiv_pos_as_xyz
'x,y,z'
loop_
_atom_site_label
_atom_site_type_symbol
_atom_site_fract_x
_atom_site_fract_y
_atom_site_fract_z
_atom_site_occupancy
La1 La 0.166 0.834 0.000 1
La2 La 0.834 0.166 0.000 1
Nd1 Nd 0.000 0.000 0.500 1
Nd2 Nd 0.333 0.667 0.500 1
Nd3 Nd 0.667 0.333 0.500 1
Ho1 Ho 0.500 0.500 0.000 1
Er1 Er 0.084 0.417 0.749 1
Er2 Er 0.251 0.251 0.251 1
Er3 Er 0.417 0.084 0.749 1
Er4 Er 0.583 0.916 0.251 1
Er5 Er 0.749 0.749 0.749 1
Er6 Er 0.916 0.583 0.251 1

---

6.
# LaNdHo2Er | Alexandria | GGA-PBE | relaxed
# Formation energy from the elements, kJ per mole of atoms: 22.76
# Crystal system: orthorhombic
# Final energy, eV per atom: -4.4469
# Total magnetic moment, μB/cell: 0.000
data_LaNdHo2Er
_cell_length_a 3.626
_cell_length_b 5.612
_cell_length_c 8.627
_cell_angle_alpha 90.00
_cell_angle_beta 90.00
_cell_angle_gamma 90.00
_symmetry_space_group_name_H-M 'P 1'
_symmetry_Int_Tables_number 1
loop_
_symmetry_equiv_pos_as_xyz
'x,y,z'
loop_
_atom_site_label
_atom_site_type_symbol
_atom_site_fract_x
_atom_site_fract_y
_atom_site_fract_z
_atom_site_occupancy
La1 La 0.000 0.000 0.000 1
Nd1 Nd 0.500 0.000 0.500 1
Ho1 Ho 0.000 0.500 0.318 1
Ho2 Ho 0.000 0.500 0.682 1
Er1 Er 0.500 0.500 0.000 1

---

Number 1 is which compound? LaHoErLu

---

What is the formation energy from the elements in the fourth record? 1.03 kJ per mole of atoms

---

Among the records above, which one has the highest formation energy from the elements? LaNdHo2Er

---

What is the formula in the sixth record? LaNdHo2Er